Entry 1:
# BaPaSb2Pt2, optimized geometry, DFT PBE
# Formation energy from raw total energies = -0.949 eV per atom
# Energy = -6.24 eV per atom
# D(E_F) = 5.78 states/eV/cell
data_BaPaSb2Pt2
_chemical_formula_sum 'Ba1 Pa1 Sb2 Pt2'
_cell_length_a 4.515
_cell_length_b 4.515
_cell_length_c 9.086
_cell_angle_alpha 90.00
_cell_angle_beta 90.00
_cell_angle_gamma 120.00
_symmetry_space_group_name_H-M 'P 1'
_symmetry_Int_Tables_number 1
loop_
_symmetry_equiv_pos_as_xyz
'x,y,z'
loop_
_atom_site_label
_atom_site_fract_x
_atom_site_fract_y
_atom_site_fract_z
Pt1 0.667 0.333 0.673
Pt2 0.333 0.667 0.327
Pa1 0.000 0.000 0.500
Sb1 0.667 0.333 0.260
Sb2 0.333 0.667 0.740
Ba1 0.000 0.000 0.000

---

Entry 2:
# Pa3Si4Rh2, optimized geometry, DFT PBE
# Formation energy from raw total energies = -0.770 eV per atom
# Energy = -7.98 eV per atom
# D(E_F) = 8.30 states/eV/cell
# Excess energy over the best structure of this formula in the dataset = 38 meV per atom
data_Pa3Si4Rh2
_chemical_formula_sum 'Pa3 Si4 Rh2'
_cell_length_a 4.146
_cell_length_b 5.692
_cell_length_c 8.072
_cell_angle_alpha 107.51
_cell_angle_beta 90.00
_cell_angle_gamma 111.36
_symmetry_space_group_name_H-M 'P 1'
_symmetry_Int_Tables_number 1
loop_
_symmetry_equiv_pos_as_xyz
'x,y,z'
loop_
_atom_site_label
_atom_site_fract_x
_atom_site_fract_y
_atom_site_fract_z
Pa1 0.000 0.000 0.000
Pa2 0.378 0.756 0.309
Pa3 0.622 0.244 0.691
Rh1 0.310 0.619 0.647
Rh2 0.690 0.381 0.353
Si1 0.278 0.556 0.933
Si2 0.915 0.830 0.600
Si3 0.085 0.170 0.400
Si4 0.722 0.444 0.067

---

Entry 3:
# NaLa2Ho, optimized geometry, DFT PBE
# Formation energy = 0.098 eV per atom
# Energy = -3.84 eV per atom
# D(E_F) = 4.94 states/eV/cell
# Excess energy over the best structure of this formula in the dataset = 0 meV per atom
data_NaLa2Ho
_chemical_formula_sum 'Na1 La2 Ho1'
_cell_length_a 3.579
_cell_length_b 3.579
_cell_length_c 11.167
_cell_angle_alpha 90.00
_cell_angle_beta 90.00
_cell_angle_gamma 90.00
_symmetry_space_group_name_H-M 'P 1'
_symmetry_Int_Tables_number 1
loop_
_symmetry_equiv_pos_as_xyz
'x,y,z'
loop_
_atom_site_label
_atom_site_fract_x
_atom_site_fract_y
_atom_site_fract_z
Ho1 0.500 0.500 0.000
Na1 0.500 0.500 0.500
La1 0.000 0.000 0.770
La2 0.000 0.000 0.230

---

Entry 4:
# CaHoTeO6, optimized geometry, DFT PBE
# Formation energy from raw total energies = -2.084 eV per atom
# Energy = -6.47 eV per atom
# D(E_F) = 8.41 states/eV/cell
data_CaHoTeO6
_chemical_formula_sum 'Ca2 Ho2 Te2 O12'
_cell_length_a 5.657
_cell_length_b 5.657
_cell_length_c 9.443
_cell_angle_alpha 90.00
_cell_angle_beta 90.00
_cell_angle_gamma 120.00
_symmetry_space_group_name_H-M 'P 1'
_symmetry_Int_Tables_number 1
loop_
_symmetry_equiv_pos_as_xyz
'x,y,z'
loop_
_atom_site_label
_atom_site_fract_x
_atom_site_fract_y
_atom_site_fract_z
O1 0.337 0.957 0.137
O2 0.043 0.380 0.137
O3 0.957 0.337 0.637
O4 0.620 0.663 0.137
O5 0.337 0.380 0.363
O6 0.380 0.337 0.863
O7 0.663 0.043 0.863
O8 0.957 0.620 0.863
O9 0.380 0.043 0.637
O10 0.620 0.957 0.363
O11 0.663 0.620 0.637
O12 0.043 0.663 0.363
Te1 0.333 0.667 0.250
Te2 0.667 0.333 0.750
Ca1 0.000 0.000 0.000
Ca2 0.000 0.000 0.500
Ho1 0.333 0.667 0.750
Ho2 0.667 0.333 0.250